## ZnTc2Sn8 (PBE)

Data for ZnTc2Sn8 after structural relaxation.

```
data_ZnTc2Sn8
_cell_length_a 12.730
_cell_length_b 8.603
_cell_length_c 5.278
_cell_angle_alpha 90.00
_cell_angle_beta 108.87
_cell_angle_gamma 90.00
_space_group_name_H-M_alt 'C 1 2/m 1'
_space_group_IT_number 12
loop_
_space_group_symop_operation_xyz
'x,y,z'
'-x,-y,-z'
'-x,y,-z'
'x,-y,z'
'x+1/2,y+1/2,z'
'-x+1/2,-y+1/2,-z'
'-x+1/2,y+1/2,-z'
'x+1/2,-y+1/2,z'
loop_
_atom_site_label
_atom_site_type_symbol
_atom_site_fract_x
_atom_site_fract_y
_atom_site_fract_z
Zn1 Zn 0.000 0.000 0.000
Tc1 Tc 0.207 0.000 0.313
Sn1 Sn 0.094 0.500 0.802
Sn2 Sn 0.128 0.297 0.325
Sn3 Sn 0.170 0.000 0.784
```

- total energy (eV per atom) = -4.7873
- N(E_F) (states/eV per atom) = 0.5702
- E_form (eV/atom) = 0.12